--- i ---
# LiYMn, relaxed, DFT GGA-PBE
# - N(E_F): 0.847 states/eV per atom
data_LiYMn
_chemical_formula_sum 'Li2 Y2 Mn2'
_symmetry_space_group_name_H-M 'I 4 m m'
_symmetry_Int_Tables_number 107
_symmetry_space_group_name_Hall 'I 4 -2'
_cell_length_a 3.458
_cell_length_b 3.458
_cell_length_c 10.498
_cell_angle_alpha 90.00
_cell_angle_beta 90.00
_cell_angle_gamma 90.00
loop_
_atom_site_label
_atom_site_type_symbol
_atom_site_fract_x
_atom_site_fract_y
_atom_site_fract_z
Li1 Li 0.000 0.000 0.000
Y1 Y 0.000 0.000 0.704
Mn1 Mn 0.000 0.000 0.378

---

--- ii ---
# LiYMn, relaxed, DFT GGA-PBE
# - N(E_F): 0.796 states/eV per atom
data_LiYMn
_chemical_formula_sum 'Li4 Y4 Mn4'
_symmetry_space_group_name_H-M 'F -4 3 m'
_symmetry_Int_Tables_number 216
_symmetry_space_group_name_Hall 'F -4 2 3'
_cell_length_a 6.642
_cell_length_b 6.642
_cell_length_c 6.642
_cell_angle_alpha 90.00
_cell_angle_beta 90.00
_cell_angle_gamma 90.00
loop_
_atom_site_label
_atom_site_type_symbol
_atom_site_fract_x
_atom_site_fract_y
_atom_site_fract_z
Li1 Li 0.000 0.000 0.000
Y1 Y 0.000 0.000 0.500
Mn1 Mn 0.250 0.250 0.250

---

--- iii ---
# LiYMn, relaxed, DFT GGA-PBE
# - N(E_F): 0.790 states/eV per atom
data_LiYMn
_chemical_formula_sum 'Li1 Y1 Mn1'
_symmetry_space_group_name_H-M 'P 3 m 1'
_symmetry_Int_Tables_number 156
_cell_length_a 3.2604
_cell_length_b 3.2604
_cell_length_c 7.3664
_cell_angle_alpha 90.00
_cell_angle_beta 90.00
_cell_angle_gamma 120.00
loop_
_symmetry_equiv_pos_as_xyz
'x,y,z'
'-y,x-y,z'
'-x+y,-x,z'
'-y,-x,z'
'-x+y,y,z'
'x,x-y,z'
loop_
_atom_site_label
_atom_site_type_symbol
_atom_site_fract_x
_atom_site_fract_y
_atom_site_fract_z
Li1 Li 0.0000 0.0000 0.0000
Y1 Y 0.6667 0.3333 0.6136
Mn1 Mn 0.3333 0.6667 0.2977

---

Energetically preferred structure: i | next structure: +0.177 eV/atom

---

--- i ---
# Li3MnZn, relaxed, DFT GGA-PBE
# - N(E_F): 0.816 states/eV per atom
data_Li3MnZn
_chemical_formula_sum 'Li3 Mn1 Zn1'
_symmetry_space_group_name_H-M 'P m -3 m'
_symmetry_Int_Tables_number 221
_symmetry_space_group_name_Hall '-P 4 2 3'
_cell_length_a 4.836
_cell_length_b 4.836
_cell_length_c 4.836
_cell_angle_alpha 90.00
_cell_angle_beta 90.00
_cell_angle_gamma 90.00
loop_
_atom_site_label
_atom_site_type_symbol
_atom_site_fract_x
_atom_site_fract_y
_atom_site_fract_z
Li1 Li 0.000 0.000 0.500
Mn1 Mn 0.000 0.000 0.000
Zn1 Zn 0.500 0.500 0.500

---

--- ii ---
# Li3MnZn, relaxed, DFT GGA-PBE
# - N(E_F): 1.079 states/eV per atom
data_Li3MnZn
_chemical_formula_sum 'Li3 Mn1 Zn1'
_symmetry_space_group_name_H-M 'P m -3 m'
_symmetry_Int_Tables_number 221
_symmetry_space_group_name_Hall '-P 4 2 3'
_cell_length_a 4.509
_cell_length_b 4.509
_cell_length_c 4.509
_cell_angle_alpha 90.00
_cell_angle_beta 90.00
_cell_angle_gamma 90.00
loop_
_atom_site_label
_atom_site_type_symbol
_atom_site_fract_x
_atom_site_fract_y
_atom_site_fract_z
Li1 Li 0.000 0.000 0.500
Mn1 Mn 0.500 0.500 0.500
Zn1 Zn 0.000 0.000 0.000

---

Energetically preferred structure: i | next structure: +0.220 eV/atom

---

--- i ---
# LiMn3Zn, relaxed, DFT GGA-PBE
# - N(E_F): 0.297 states/eV per atom
data_LiMn3Zn
_chemical_formula_sum 'Li1 Mn3 Zn1'
_symmetry_space_group_name_H-M 'P m -3 m'
_symmetry_Int_Tables_number 221
_symmetry_space_group_name_Hall '-P 4 2 3'
_cell_length_a 4.196
_cell_length_b 4.196
_cell_length_c 4.196
_cell_angle_alpha 90.00
_cell_angle_beta 90.00
_cell_angle_gamma 90.00
loop_
_atom_site_label
_atom_site_type_symbol
_atom_site_fract_x
_atom_site_fract_y
_atom_site_fract_z
Li1 Li 0.000 0.000 0.000
Mn1 Mn 0.000 0.000 0.500
Zn1 Zn 0.500 0.500 0.500

---

--- ii ---
# LiMn3Zn, relaxed, DFT GGA-PBE
# - N(E_F): 1.077 states/eV per atom
data_LiMn3Zn
_chemical_formula_sum 'Li1 Mn3 Zn1'
_symmetry_space_group_name_H-M 'P m -3 m'
_symmetry_Int_Tables_number 221
_symmetry_space_group_name_Hall '-P 4 2 3'
_cell_length_a 4.721
_cell_length_b 4.721
_cell_length_c 4.721
_cell_angle_alpha 90.00
_cell_angle_beta 90.00
_cell_angle_gamma 90.00
loop_
_atom_site_label
_atom_site_type_symbol
_atom_site_fract_x
_atom_site_fract_y
_atom_site_fract_z
Li1 Li 0.000 0.000 0.000
Mn1 Mn 0.000 0.500 0.500
Zn1 Zn 0.500 0.500 0.500

---

Energetically preferred structure: ii | next structure: +0.083 eV/atom